Crystalline Lu2Sc2In5Ni2 at its relaxed geometry, computed with GGA-PBE.

Results
Energy, eV/atom: -4.688
Total magnetization, μB/cell: 0.0

Structure (POSCAR):
```
Lu2Sc2In5Ni2
1.0
7.591 0.000 0.000
0.000 3.409 0.000
-0.743 0.000 9.259
Lu Sc In Ni
2 2 5 2
direct
0.182 0.000 0.342 Lu
0.818 0.000 0.658 Lu
0.203 0.000 0.940 Sc
0.797 0.000 0.060 Sc
0.164 0.500 0.650 In
0.456 0.500 0.162 In
0.500 0.500 0.500 In
0.544 0.500 0.838 In
0.836 0.500 0.350 In
0.070 0.500 0.128 Ni
0.930 0.500 0.872 Ni
```

---

Crystalline Nb2ZnCu at its relaxed geometry, computed with GGA-PBE.

Results
Formation enthalpy at 0 K, eV/atom: 0.383
Total magnetization, μB/cell: 0.5

Structure (POSCAR):
```
Nb2ZnCu
1.0
0.000 3.182 3.182
3.182 0.000 3.182
3.182 3.182 0.000
Nb Zn Cu
2 1 1
direct
0.000 0.000 0.000 Nb
0.250 0.250 0.250 Nb
0.500 0.500 0.500 Zn
0.750 0.750 0.750 Cu
```

---

Crystalline ZrBeSn2 at its relaxed geometry, computed with GGA-PBE.

Results
Energy, eV/atom: -4.610
Total magnetization, μB/cell: 0.1

Structure (POSCAR):
```
ZrBeSn2
1.0
0.000 3.510 3.510
3.510 0.000 3.510
3.510 3.510 0.000
Zr Be Sn
1 1 2
direct
0.000 0.000 0.000 Zr
0.750 0.750 0.750 Be
0.250 0.250 0.250 Sn
0.500 0.500 0.500 Sn
```